Record 1
Entry from Alexandria via LeMat-Bulk: MgCu4Sn after structural relaxation (PBE-GGA).

Structure (POSCAR):
```
MgCu4Sn
1.0
-3.476 1.970 3.014
-1.887 -2.717 3.756
1.149 1.140 4.736
Sn Cu Mg
1 4 1
direct
0.000 0.000 0.000
0.624 0.127 0.624
0.624 0.624 0.127
0.624 0.624 0.624
0.127 0.624 0.624
0.250 0.250 0.250
```

Energy of formation from the pure elements: -0.131 eV/atom
E: -3.795 eV per atom

Record 2
Entry from Alexandria via LeMat-Bulk: Sr2MgCu3Sn4 after structural relaxation (PBE-GGA).

Structure (POSCAR):
```
Sr2MgCu3Sn4
1.0
4.564 0.000 0.000
0.000 4.564 0.000
0.000 0.000 11.459
Sr Cu Sn Mg
2 3 4 1
direct
0.000 0.500 0.754
0.500 0.000 0.246
0.500 0.000 0.870
0.000 0.500 0.130
0.000 0.000 0.500
0.000 0.500 0.357
0.000 0.000 0.000
0.500 0.000 0.643
0.500 0.500 0.000
0.500 0.500 0.500
```

Energy of formation from the pure elements: -0.351 eV/atom
E: -3.677 eV per atom

Record 3
Entry from Alexandria via LeMat-Bulk: MgCu2SnTe after structural relaxation (PBE-GGA).

Structure (POSCAR):
```
MgCu2SnTe
1.0
4.764 0.000 0.000
0.000 5.537 0.000
0.000 0.000 4.764
Te Sn Cu Mg
1 1 2 1
direct
0.500 0.500 0.500
0.000 0.500 0.000
0.500 0.000 0.000
0.000 0.000 0.500
0.000 0.000 0.000
```

Raw formation energy: 0.683 eV/atom
E: -2.703 eV per atom

Record 4
Entry from Alexandria via LeMat-Bulk: ThMgCuSn after structural relaxation (PBE-GGA).

Structure (POSCAR):
```
ThMgCuSn
1.0
-1.438 -0.473 -4.867
-3.906 -3.040 -1.219
-4.411 2.021 -1.562
Th Mg Cu Sn
1 1 1 1
direct
0.000 0.000 0.000
0.500 0.500 0.500
0.750 0.750 0.750
0.250 0.250 0.250
```

Energy of formation from the pure elements: -0.152 eV/atom
E: -4.431 eV per atom

Record 5
Entry from Alexandria via LeMat-Bulk: Mg2Zn2Cu5Sn after structural relaxation (PBE-GGA).

Structure (POSCAR):
```
Mg2Zn2Cu5Sn
1.0
-2.852 0.922 -2.621
3.746 -5.342 -5.955
-4.894 -6.731 2.959
Cu Zn Mg Sn
10 4 4 2
direct
0.500 0.427 0.289
0.500 0.211 0.073
0.500 0.289 0.573
0.500 0.000 0.500
0.500 0.789 0.927
0.500 0.500 0.000
0.500 0.073 0.789
0.500 0.573 0.711
0.500 0.927 0.211
0.500 0.711 0.427
0.000 0.613 0.887
0.000 0.887 0.387
0.000 0.387 0.113
0.000 0.113 0.613
0.000 0.181 0.319
0.000 0.319 0.819
0.000 0.819 0.681
0.000 0.681 0.181
0.000 0.000 0.000
0.000 0.500 0.500
```

Energy of formation from the pure elements: -0.026 eV/atom
E: -3.048 eV per atom

Record 6
Entry from Alexandria via LeMat-Bulk: Sr3MgCu after structural relaxation (PBE-GGA).

Structure (POSCAR):
```
Sr3MgCu
1.0
5.938 0.000 0.000
0.000 5.938 0.000
0.000 0.000 5.938
Mg Cu Sr
1 1 3
direct
0.500 0.500 0.500
0.000 0.000 0.000
0.500 0.000 0.000
0.000 0.000 0.500
0.000 0.500 0.000
```

Energy of formation from the pure elements: 0.065 eV/atom
Relative energy among the computed polymorphs: 0.000 eV/atom
E: -2.082 eV per atom

Record 7
Entry from Alexandria via LeMat-Bulk: SrMgCu2 after structural relaxation (PBE-GGA).

Structure (POSCAR):
```
SrMgCu2
1.0
4.895 0.000 0.000
0.000 4.895 0.000
2.447 2.447 8.821
Cu Mg Sr
4 2 2
direct
0.875 0.625 0.750
0.375 0.625 0.750
0.375 0.125 0.250
0.375 0.625 0.250
0.250 0.750 0.500
0.500 0.500 0.000
0.750 0.250 0.500
0.000 0.000 0.000
```

Energy of formation from the pure elements: 0.137 eV/atom
E: -2.730 eV per atom

Record 8
Entry from Alexandria via LeMat-Bulk: Sr2MgCu2 after structural relaxation (PBE-GGA).

Structure (POSCAR):
```
Sr2MgCu2
1.0
-2.234 -2.321 -1.709
1.166 -2.705 2.150
-8.033 -0.321 7.045
Cu Sr Mg
2 2 1
direct
0.750 0.250 0.500
0.250 0.750 0.500
0.374 0.374 0.251
0.626 0.626 0.749
0.000 0.000 0.000
```

Energy of formation from the pure elements: 0.107 eV/atom
E: -2.524 eV per atom

Record 9
Entry from Alexandria via LeMat-Bulk: SrMgCu2 after structural relaxation (PBE-GGA).

Structure (POSCAR):
```
SrMgCu2
1.0
6.560 0.777 -0.350
3.623 5.523 0.350
-4.755 -3.694 2.739
Cu Mg Sr
2 1 1
direct
0.160 0.660 0.500
0.031 0.031 0.000
0.524 0.524 0.000
0.785 0.285 0.500
```

Energy of formation from the pure elements: 0.045 eV/atom
E: -2.822 eV per atom

Record 10
Entry from Alexandria via LeMat-Bulk: SrMgCu after structural relaxation (PBE-GGA).

Structure (POSCAR):
```
SrMgCu
1.0
-3.777 3.092 -0.955
-4.682 -1.465 0.821
-2.604 1.977 3.748
Cu Mg Sr
1 1 1
direct
0.750 0.750 0.750
0.000 0.000 0.000
0.500 0.500 0.500
```

Energy of formation from the pure elements: 0.061 eV/atom
E: -2.396 eV per atom

Record 11
Entry from Alexandria via LeMat-Bulk: SrMg5Cu2 after structural relaxation (PBE-GGA).

Structure (POSCAR):
```
SrMg5Cu2
1.0
4.183 0.000 1.385
1.547 6.302 2.336
0.039 -0.245 6.892
Mg Sr Cu
5 1 2
direct
0.338 0.477 0.847
0.662 0.153 0.523
0.662 0.523 0.153
0.000 0.500 0.500
0.338 0.847 0.477
0.000 0.000 0.000
0.746 0.754 0.754
0.254 0.246 0.246
```

Energy of formation from the pure elements: -0.092 eV/atom
E: -2.322 eV per atom

Record 12
Entry from Alexandria via LeMat-Bulk: SrMgCu after structural relaxation (PBE-GGA).

Structure (POSCAR):
```
SrMgCu
1.0
4.185 0.000 0.000
0.000 5.881 -0.169
-2.093 -1.461 6.694
Cu Sr Mg
2 2 2
direct
0.227 0.883 0.453
0.773 0.117 0.547
0.873 0.691 0.747
0.127 0.309 0.253
0.594 0.784 0.188
0.406 0.216 0.812
```

Energy of formation from the pure elements: -0.088 eV/atom
E: -2.546 eV per atom

Record 13
Entry from Alexandria via LeMat-Bulk: SrMgCu2 after structural relaxation (PBE-GGA).

Structure (POSCAR):
```
SrMgCu2
1.0
3.495 0.000 0.000
0.000 3.509 0.005
0.000 3.499 6.883
Mg Cu Sr
1 2 1
direct
0.500 0.250 0.250
0.000 0.566 0.434
0.000 0.934 0.066
0.500 0.750 0.750
```

Energy of formation from the pure elements: 0.000 eV/atom
E: -2.868 eV per atom

Record 14
Entry from Alexandria via LeMat-Bulk: SrMgCu2 after structural relaxation (PBE-GGA).

Structure (POSCAR):
```
SrMgCu2
1.0
5.462 0.031 0.000
1.939 5.107 0.000
-3.701 -2.569 3.089
Sr Mg Cu
1 1 2
direct
0.750 0.250 0.500
0.500 0.500 0.000
0.250 0.750 0.500
0.000 0.000 0.000
```

Energy of formation from the pure elements: 0.211 eV/atom
E: -2.656 eV per atom

Record 15
Entry from Alexandria via LeMat-Bulk: SrMgCu after structural relaxation (PBE-GGA).

Structure (POSCAR):
```
SrMgCu
1.0
-3.609 2.088 0.349
0.010 1.076 -6.323
-1.244 -6.697 2.113
Sr Mg Cu
2 2 2
direct
0.024 0.897 0.677
0.421 0.293 0.470
0.722 0.364 0.074
0.722 0.826 0.074
0.122 0.495 0.873
0.322 0.695 0.274
```

Energy of formation from the pure elements: -0.075 eV/atom
E: -2.533 eV per atom

Record 16
Entry from Alexandria via LeMat-Bulk: SrMgCu2 after structural relaxation (PBE-GGA).

Structure (POSCAR):
```
SrMgCu2
1.0
3.413 0.000 0.000
0.000 3.413 0.000
0.000 0.000 7.381
Cu Mg Sr
2 1 1
direct
0.000 0.000 0.075
0.500 0.500 0.211
0.000 0.000 0.422
0.500 0.500 0.792
```

Energy of formation from the pure elements: 0.069 eV/atom
E: -2.798 eV per atom

Record 17
Entry from Alexandria via LeMat-Bulk: SrMgCu17 after structural relaxation (PBE-GGA).

Structure (POSCAR):
```
SrMgCu17
1.0
-3.483 3.072 -4.503
-5.652 -0.096 3.146
0.405 5.924 2.567
Cu Mg Sr
17 1 1
direct
0.908 0.908 0.908
0.005 0.294 0.701
0.998 0.998 0.501
0.005 0.701 0.294
0.102 0.102 0.102
0.652 0.652 0.158
0.652 0.158 0.652
0.501 0.998 0.998
0.856 0.340 0.340
0.340 0.340 0.856
0.294 0.701 0.005
0.701 0.005 0.294
0.701 0.294 0.005
0.340 0.856 0.340
0.998 0.501 0.998
0.158 0.652 0.652
0.294 0.005 0.701
0.338 0.338 0.338
0.656 0.656 0.656
```

Energy of formation from the pure elements: -0.006 eV/atom
E: -3.843 eV per atom

Record 18
Entry from Alexandria via LeMat-Bulk: SrMg4Cu after structural relaxation (PBE-GGA).

Structure (POSCAR):
```
SrMg4Cu
1.0
3.573 -4.294 -2.162
-2.300 -5.307 -1.558
-0.328 -1.542 -5.778
Mg Sr Cu
4 1 1
direct
0.374 0.374 0.374
0.878 0.374 0.374
0.374 0.374 0.878
0.374 0.878 0.374
0.750 0.750 0.750
0.000 0.000 0.000
```

Energy of formation from the pure elements: 0.176 eV/atom
Relative energy among the computed polymorphs: 0.271 eV/atom
E: -1.850 eV per atom

Record 19
Entry from Alexandria via LeMat-Bulk: Sr3MgCu3 after structural relaxation (PBE-GGA).

Structure (POSCAR):
```
Sr3MgCu3
1.0
-0.936 2.396 -3.534
-4.770 0.012 3.974
5.664 12.188 6.762
Mg Sr Cu
2 6 6
direct
0.500 0.000 0.500
0.500 0.000 0.000
0.209 0.417 0.895
0.791 0.583 0.395
0.490 0.980 0.750
0.209 0.417 0.605
0.791 0.583 0.105
0.510 0.020 0.250
0.914 0.828 0.899
0.201 0.401 0.250
0.914 0.828 0.601
0.086 0.172 0.399
0.086 0.172 0.101
0.799 0.599 0.750
```

Energy of formation from the pure elements: -0.078 eV/atom
E: -2.782 eV per atom

Record 20
Entry from Alexandria via LeMat-Bulk: SrMgCu2 after structural relaxation (PBE-GGA).

Structure (POSCAR):
```
SrMgCu2
1.0
-1.920 -3.339 -6.852
4.270 2.024 1.374
1.722 -3.031 -0.908
Sr Mg Cu
1 1 2
direct
0.500 0.500 0.000
0.000 0.500 0.500
0.000 0.000 0.000
0.500 0.000 0.500
```

Energy of formation from the pure elements: 0.133 eV/atom
E: -2.734 eV per atom

no.,size of the total moment (μB per cell)
1,0.00
2,0.00
3,0.00
4,0.00
5,0.00
6,0.00
7,0.00
8,0.00
9,0.00
10,0.00
11,0.00
12,0.00
13,0.00
14,0.00
15,0.00
16,0.00
17,0.00
18,0.00
19,0.00
20,0.00